No. 1
A relaxed structure of Re2Ni. Source: the Open Quantum Materials Database, functional GGA-PBE.

Structure (POSCAR):
```
Re2Ni
1.0
9.151 0.000 0.000
0.000 9.151 0.000
0.000 0.000 4.916
Re Ni
20 10
Direct
0.069 0.266 0.000 Re
0.099 0.099 0.500 Re
0.176 0.824 0.251 Re
0.176 0.824 0.749 Re
0.234 0.569 0.500 Re
0.266 0.069 0.000 Re
0.324 0.324 0.249 Re
0.324 0.324 0.751 Re
0.401 0.599 0.000 Re
0.431 0.766 0.500 Re
0.569 0.234 0.500 Re
0.599 0.401 0.000 Re
0.676 0.676 0.249 Re
0.676 0.676 0.751 Re
0.734 0.931 0.000 Re
0.766 0.431 0.500 Re
0.824 0.176 0.251 Re
0.824 0.176 0.749 Re
0.901 0.901 0.500 Re
0.931 0.734 0.000 Re
0.000 0.000 0.000 Ni
0.035 0.373 0.500 Ni
0.127 0.535 0.000 Ni
0.373 0.035 0.500 Ni
0.465 0.873 0.000 Ni
0.500 0.500 0.500 Ni
0.535 0.127 0.000 Ni
0.627 0.965 0.500 Ni
0.873 0.465 0.000 Ni
0.965 0.627 0.500 Ni
```

Results
* VASP energy: -10.02 eV per atom
* ΔE_f: 0.119 eV per atom
* crystal system: tetragonal

No. 2
A relaxed structure of Re5Ni7. Source: the Open Quantum Materials Database, functional GGA-PBE.

Structure (POSCAR):
```
Re5Ni7
1.0
4.950 0.000 0.000
-2.475 4.286 0.000
0.000 0.000 14.899
Re Ni
10 14
Direct
0.000 0.000 0.091 Re
0.000 0.000 0.409 Re
0.000 0.000 0.591 Re
0.000 0.000 0.909 Re
0.000 0.500 0.000 Re
0.000 0.500 0.500 Re
0.500 0.000 0.000 Re
0.500 0.000 0.500 Re
0.500 0.500 0.000 Re
0.500 0.500 0.500 Re
0.156 0.311 0.250 Ni
0.156 0.844 0.250 Ni
0.311 0.156 0.750 Ni
0.333 0.667 0.134 Ni
0.333 0.667 0.366 Ni
0.333 0.667 0.654 Ni
0.333 0.667 0.846 Ni
0.667 0.333 0.154 Ni
0.667 0.333 0.346 Ni
0.667 0.333 0.634 Ni
0.667 0.333 0.866 Ni
0.689 0.844 0.250 Ni
0.844 0.156 0.750 Ni
0.844 0.689 0.750 Ni
```

Results
* VASP energy: -8.14 eV per atom
* ΔE_f: 0.288 eV per atom
* crystal system: hexagonal

No. 3
A relaxed structure of Re8Ni5. Source: the Open Quantum Materials Database, functional GGA-PBE.

Structure (POSCAR):
```
Re8Ni5
1.0
2.500 1.443 8.437
-2.500 1.443 8.437
0.000 -2.887 8.437
Re Ni
8 5
Direct
0.083 0.589 0.589 Re
0.145 0.145 0.145 Re
0.411 0.411 0.917 Re
0.411 0.917 0.411 Re
0.589 0.083 0.589 Re
0.589 0.589 0.083 Re
0.855 0.855 0.855 Re
0.917 0.411 0.411 Re
0.045 0.045 0.045 Ni
0.334 0.334 0.334 Ni
0.500 0.500 0.500 Ni
0.666 0.666 0.666 Ni
0.955 0.955 0.955 Ni
```

Results
* VASP energy: -9.52 eV per atom
* ΔE_f: 0.266 eV per atom
* crystal system: trigonal

No. 4
A relaxed structure of Re2Ni. Source: the Open Quantum Materials Database, functional GGA-PBE.

Structure (POSCAR):
```
Re2Ni
1.0
9.325 0.000 0.000
0.000 9.325 0.000
0.000 0.000 4.755
Re Ni
20 10
Direct
0.027 0.362 0.000 Re
0.064 0.258 0.500 Re
0.097 0.097 0.000 Re
0.138 0.527 0.500 Re
0.242 0.564 0.000 Re
0.258 0.064 0.500 Re
0.362 0.027 0.000 Re
0.403 0.597 0.500 Re
0.436 0.758 0.000 Re
0.473 0.862 0.500 Re
0.527 0.138 0.500 Re
0.564 0.242 0.000 Re
0.597 0.403 0.500 Re
0.638 0.973 0.000 Re
0.742 0.936 0.500 Re
0.758 0.436 0.000 Re
0.862 0.473 0.500 Re
0.903 0.903 0.000 Re
0.936 0.742 0.500 Re
0.973 0.638 0.000 Re
0.000 0.000 0.500 Ni
0.179 0.821 0.250 Ni
0.179 0.821 0.750 Ni
0.321 0.321 0.250 Ni
0.321 0.321 0.750 Ni
0.500 0.500 0.000 Ni
0.679 0.679 0.250 Ni
0.679 0.679 0.750 Ni
0.821 0.179 0.250 Ni
0.821 0.179 0.750 Ni
```

Results
* VASP energy: -10.08 eV per atom
* ΔE_f: 0.061 eV per atom
* crystal system: tetragonal

No. 5
A relaxed structure of Re11Ni4. Source: the Open Quantum Materials Database, functional GGA-PBE.

Structure (POSCAR):
```
Re11Ni4
1.0
9.186 0.000 0.000
0.000 9.186 0.000
0.000 0.000 4.878
Re Ni
22 8
Direct
0.000 0.000 0.000 Re
0.036 0.367 0.500 Re
0.100 0.100 0.500 Re
0.133 0.536 0.000 Re
0.185 0.815 0.251 Re
0.185 0.815 0.749 Re
0.315 0.315 0.249 Re
0.315 0.315 0.751 Re
0.367 0.036 0.500 Re
0.400 0.600 0.000 Re
0.464 0.867 0.000 Re
0.500 0.500 0.500 Re
0.536 0.133 0.000 Re
0.600 0.400 0.000 Re
0.633 0.964 0.500 Re
0.685 0.685 0.249 Re
0.685 0.685 0.751 Re
0.815 0.185 0.251 Re
0.815 0.185 0.749 Re
0.867 0.464 0.000 Re
0.900 0.900 0.500 Re
0.964 0.633 0.500 Re
0.064 0.260 0.000 Ni
0.240 0.564 0.500 Ni
0.260 0.064 0.000 Ni
0.436 0.760 0.500 Ni
0.564 0.240 0.500 Ni
0.740 0.936 0.000 Ni
0.760 0.436 0.500 Ni
0.936 0.740 0.000 Ni
```

Results
* VASP energy: -10.58 eV per atom
* ΔE_f: 0.019 eV per atom
* crystal system: tetragonal

No. 6
A relaxed structure of Re3Ni. Source: the Open Quantum Materials Database, functional GGA-PBE.

Structure (POSCAR):
```
Re3Ni
1.0
2.732 0.000 0.000
-1.366 2.366 0.000
0.000 0.000 8.639
Re Ni
3 1
Direct
0.000 0.000 0.000 Re
0.667 0.333 0.259 Re
0.667 0.333 0.741 Re
0.000 0.000 0.500 Ni
```

Results
* VASP energy: -10.66 eV per atom
* ΔE_f: 0.049 eV per atom
* crystal system: hexagonal